# Ga12Tc | OQMD | PBE | optimized geometry
data_Ga12Tc
_chemical_formula_sum 'Ga12 Tc1'
_space_group_name_H-M_alt 'P 1'
_space_group_IT_number 1
_space_group_name_Hall 'P 1'
_cell_length_a 6.5915
_cell_length_b 6.5915
_cell_length_c 6.5915
_cell_angle_alpha 109.47
_cell_angle_beta 109.47
_cell_angle_gamma 109.47
loop_
_atom_site_label
_atom_site_type_symbol
_atom_site_fract_x
_atom_site_fract_y
_atom_site_fract_z
Ga1 Ga 0.8096 0.5000 0.6904
Ga2 Ga 0.8809 0.6904 0.1904
Ga3 Ga 0.1191 0.3096 0.8096
Ga4 Ga 0.1904 0.5000 0.3096
Ga5 Ga 0.3096 0.8096 0.1191
Ga6 Ga 0.5000 0.6904 0.8096
Ga7 Ga 0.6904 0.8096 0.5000
Ga8 Ga 0.1904 0.8809 0.6904
Ga9 Ga 0.6904 0.1904 0.8809
Ga10 Ga 0.5000 0.3096 0.1904
Ga11 Ga 0.3096 0.1904 0.5000
Ga12 Ga 0.8096 0.1191 0.3096
Tc1 Tc 0.0000 0.0000 0.0000
# - DFT total energy (eV/cell) = -47.6